# 1
A plane-wave DFT calculation with GGA-PBE was carried out for an optimized crystal structure of Tb4Zn2CdCu.

a b c (Å): 5.1075 5.1075 8.8122
angles (deg): 73.15 73.15 60.00
With the nearest neighbours (Å) after each atom.
Fractional coordinates of all 8 atoms:
1 Tb 0.3811 0.3811 0.8567  1 Cu 2.96, 4 Zn 3.05-3.15, 3 Cd 3.18
2 Tb 0.8696 0.8696 0.3911  3 Cu 3.08, 4 Zn 3.10-3.22, 1 Cd 3.25
3 Tb 0.1304 0.1304 0.6089  3 Cu 3.08, 4 Zn 3.10-3.22, 1 Cd 3.25
4 Tb 0.6189 0.6189 0.1433  1 Cu 2.96, 4 Zn 3.05-3.15, 3 Cd 3.18
5 Zn 0.7451 0.7451 0.7646  8 Tb 3.05-3.22
6 Zn 0.2549 0.2549 0.2354  8 Tb 3.05-3.22
7 Cd 0.0000 0.0000 0.0000  8 Tb 3.18-3.25, 6 Zn 3.54
8 Cu 0.5000 0.5000 0.5000  8 Tb 2.96-3.08

Its space-group type is No. 166. The calculation puts the total energy at -28.4 eV for the cell shown. The value obtained for the energy relative to the elements is -0.295 eV/atom. The calculation puts the calculated volume at 23.5 Å³/atom.

***

# 2
A plane-wave DFT calculation with GGA-PBE was carried out for an optimized crystal structure of Tb2Zn12CdCu3.

a b c (Å): 8.2572 8.2572 8.2572
angles (deg): 59.32 59.32 59.32
With the nearest neighbours (Å) after each atom.
Fractional coordinates of all 18 atoms:
1 Tb 0.5943 0.5943 0.5943  6 Zn 2.93-3.01
2 Tb 0.4057 0.4057 0.4057  6 Zn 2.93-3.01
3 Zn 0.3418 0.3418 0.8627  2 Cu 2.33, 2 Zn 2.54
4 Zn 0.8361 0.8361 0.4783  1 Cu 2.46
5 Zn 0.4783 0.8361 0.8361  1 Cu 2.46
6 Zn 0.8627 0.3418 0.3418  2 Cu 2.33, 2 Zn 2.54
7 Zn 0.8361 0.4783 0.8361  1 Cu 2.46
8 Zn 0.3418 0.8627 0.3418  2 Cu 2.33, 2 Zn 2.54
9 Zn 0.6582 0.6582 0.1373  2 Cu 2.33, 2 Zn 2.54
10 Zn 0.1639 0.1639 0.5217  1 Cu 2.46
11 Zn 0.5217 0.1639 0.1639  1 Cu 2.46
12 Zn 0.1373 0.6582 0.6582  2 Cu 2.33, 2 Zn 2.54
13 Zn 0.1639 0.5217 0.1639  1 Cu 2.46
14 Zn 0.6582 0.1373 0.6582  2 Cu 2.33, 2 Zn 2.54
15 Cd 0.0000 0.0000 0.0000  6 Zn 3.20
16 Cu 0.5000 0.0000 0.0000  6 Zn 2.33-2.46
17 Cu 0.0000 0.5000 0.0000  6 Zn 2.33-2.46
18 Cu 0.0000 0.0000 0.5000  6 Zn 2.33-2.46

Its space-group type is No. 166. The calculation puts the total energy at -33.4 eV for the cell shown. The value obtained for the energy relative to the elements is 0.242 eV/atom. The calculation puts the calculated volume at 21.8 Å³/atom.

***

# 3
A plane-wave DFT calculation with GGA-PBE was carried out for an optimized crystal structure of TbZnCdCu.

a b c (Å): 4.7627 4.7627 4.7627
angles (deg): 60.00 60.00 60.00
With the nearest neighbours (Å) after each atom.
Fractional coordinates of all 4 atoms:
1 Zn 0.5000 0.5000 0.5000  4 Cd 2.92, 4 Tb 2.92
2 Tb 0.2500 0.2500 0.2500  4 Cu 2.92, 4 Zn 2.92
3 Cu 0.0000 0.0000 0.0000  4 Cd 2.92, 4 Tb 2.92
4 Cd 0.7500 0.7500 0.7500  4 Cu 2.92, 4 Zn 2.92

Its space-group type is No. 216. The calculation puts the total energy at -12.0 eV for the cell shown. The value obtained for the energy relative to the elements is -0.273 eV/atom. The calculation puts the calculated volume at 19.1 Å³/atom.

***

# 4
A plane-wave DFT calculation with GGA-PBE was carried out for an optimized crystal structure of TbZrCdCu.

a b c (Å): 4.9848 4.9848 4.9848
angles (deg): 60.00 60.00 60.00
With the nearest neighbours (Å) after each atom.
Fractional coordinates of all 4 atoms:
1 Tb 0.2500 0.2500 0.2500  4 Cu 3.05, 4 Cd 3.05
2 Cu 0.5000 0.5000 0.5000  4 Zr 3.05, 4 Tb 3.05
3 Zr 0.7500 0.7500 0.7500  4 Cd 3.05, 4 Cu 3.05
4 Cd 0.0000 0.0000 0.0000  4 Tb 3.05, 4 Zr 3.05

Its space-group type is No. 216. The calculation puts the total energy at -18.4 eV for the cell shown. The value obtained for the energy relative to the elements is -0.058 eV/atom. The calculation puts the calculated volume at 21.9 Å³/atom.

***

# 5
A plane-wave DFT calculation with GGA-PBE was carried out for an optimized crystal structure of Cd2CuTc.

a b c (Å): 4.0112 2.8108 6.5899
angles (deg): 64.97 90.00 90.00
With the nearest neighbours (Å) after each atom.
Fractional coordinates of all 4 atoms:
1 Cd 0.0000 0.9958 0.0067  4 Cd 2.81-3.07, 4 Cu 2.84-2.85, 4 Tc 2.89
2 Cd 0.0000 0.5042 0.4933  4 Cd 2.81-3.07, 4 Cu 2.84-2.85, 4 Tc 2.89
3 Cu 0.5000 0.2500 0.2500  2 Cu 2.81, 8 Cd 2.84-2.85, 2 Tc 2.99
4 Tc 0.5000 0.7500 0.7500  2 Tc 2.81, 8 Cd 2.89, 2 Cu 2.99

Its space-group type is No. 10. The calculation puts the total energy at -14.7 eV for the cell shown. The value obtained for the energy relative to the elements is 0.386 eV/atom. The calculation puts the calculated volume at 16.8 Å³/atom.

***

# 6
A plane-wave DFT calculation with GGA-PBE was carried out for an optimized crystal structure of Cd2CuTc.

a b c (Å): 4.5916 4.5916 4.5916
angles (deg): 60.00 60.00 60.00
With the nearest neighbours (Å) after each atom.
Fractional coordinates of all 4 atoms:
1 Cd 0.0000 0.0000 0.0000  4 Tc 2.81, 4 Cd 2.81
2 Cd 0.2500 0.2500 0.2500  4 Cu 2.81, 4 Cd 2.81
3 Cu 0.5000 0.5000 0.5000  4 Cd 2.81, 4 Tc 2.81
4 Tc 0.7500 0.7500 0.7500  4 Cu 2.81, 4 Cd 2.81

Its space-group type is No. 216. The calculation puts the total energy at -14.3 eV for the cell shown. The value obtained for the energy relative to the elements is 0.495 eV/atom. The calculation puts the calculated volume at 17.1 Å³/atom.

***

# 7
A plane-wave DFT calculation with GGA-PBE was carried out for an optimized crystal structure of Cd2CuTc.

a b c (Å): 2.8315 2.8315 8.4798
angles (deg): 90.00 90.00 90.13
With the nearest neighbours (Å) after each atom.
Fractional coordinates of all 4 atoms:
1 Cd 0.0000 0.0000 0.9789  4 Cd 2.83, 4 Tc 2.95-2.96
2 Cd 0.5000 0.5000 0.2815  4 Cu 2.83, 4 Cd 2.83
3 Cu 0.0000 0.0000 0.5171  4 Tc 2.65-2.66, 4 Cd 2.83, 4 Cu 2.83
4 Tc 0.5000 0.5000 0.7225  4 Cu 2.65-2.66, 4 Tc 2.83, 4 Cd 2.95-2.96

Its space-group type is No. 35. The calculation puts the total energy at -15.1 eV for the cell shown. The value obtained for the energy relative to the elements is 0.303 eV/atom. The calculation puts the calculated volume at 17.0 Å³/atom.

***

# 8
A plane-wave DFT calculation with GGA-PBE was carried out for an optimized crystal structure of Cd2CuTc.

a b c (Å): 7.3676 7.3676 5.8894
angles (deg): 51.28 51.28 90.00
With the nearest neighbours (Å) after each atom.
Fractional coordinates of all 8 atoms:
1 Tc 0.0000 0.0000 0.0000  2 Cu 2.75, 4 Cd 2.81
2 Tc 0.7500 0.2500 0.5000  2 Cu 2.75, 4 Cd 2.81
3 Cu 0.5000 0.5000 0.0000  4 Cd 2.59, 2 Tc 2.75
4 Cu 0.2500 0.7500 0.5000  4 Cd 2.59, 2 Tc 2.75
5 Cd 0.6031 0.1250 0.2500  2 Cu 2.59, 2 Cd 2.77, 2 Tc 2.81
6 Cd 0.1469 0.6250 0.2500  2 Cu 2.59, 2 Cd 2.77, 2 Tc 2.81
7 Cd 0.3750 0.3969 0.7500  2 Cu 2.59, 2 Cd 2.77, 2 Tc 2.81
8 Cd 0.8750 0.8531 0.7500  2 Cu 2.59, 2 Cd 2.77, 2 Tc 2.81

Its space-group type is No. 122. The calculation puts the total energy at -26.9 eV for the cell shown. The value obtained for the energy relative to the elements is 0.714 eV/atom. The calculation puts the calculated volume at 18.6 Å³/atom.